Entry 1:
CaIn4 (PBE-GGA, relaxed); formation enthalpy at 0 K = 530 meV per atom; crystal system = cubic; uncorrected energy = -2.0610 eV/atom; D(E_F) = 5.10 states/eV/cell
1.0
5.9019 0.0000 0.0000
0.0000 5.9019 0.0000
0.0000 0.0000 5.9019
Ca In
1 4
direct
0.0000 0.0000 0.0000 Ca
0.0000 0.0000 0.5000 In
0.0000 0.5000 0.0000 In
0.5000 0.0000 0.0000 In
0.5000 0.5000 0.5000 In


Entry 2:
Ca2In (PBE-GGA, relaxed); formation enthalpy at 0 K = -350 meV per atom; crystal system = orthorhombic; uncorrected energy = -2.5972 eV/atom; D(E_F) = 6.62 states/eV/cell
1.0
2.7873 -4.8347 0.0000
2.7873 4.8347 0.0000
0.0000 0.0000 7.0903
Ca In
4 2
direct
0.0000 0.0000 0.0000 Ca
0.0000 0.0000 0.5000 Ca
0.3332 0.6667 0.7500 Ca
0.6667 0.3332 0.2500 Ca
0.3337 0.6663 0.2500 In
0.6663 0.3337 0.7500 In


Entry 3:
Ca3In11 (PBE-GGA, relaxed); formation enthalpy at 0 K = -235 meV per atom; crystal system = orthorhombic; uncorrected energy = -2.8154 eV/atom; D(E_F) = 5.99 states/eV/cell
1.0
-2.3815 5.8092 7.0307
2.3815 -5.8092 7.0307
2.3815 5.8092 -7.0307
Ca In
3 11
direct
0.0000 0.0000 0.0000 Ca
0.3033 0.3033 0.0000 Ca
0.6967 0.6967 0.0000 Ca
0.0216 0.6462 0.3755 In
0.1301 0.8468 0.2834 In
0.2707 0.6462 0.6245 In
0.3185 0.5000 0.8185 In
0.4366 0.1532 0.2834 In
0.5000 0.0000 0.5000 In
0.5634 0.8468 0.7166 In
0.6815 0.5000 0.1815 In
0.7293 0.3538 0.3755 In
0.8699 0.1532 0.7166 In
0.9784 0.3538 0.6245 In


Entry 4:
CaIn2 (PBE-GGA, relaxed); formation enthalpy at 0 K = -349 meV per atom; crystal system = orthorhombic; uncorrected energy = -2.8417 eV/atom; D(E_F) = 5.77 states/eV/cell
1.0
6.7468 0.0000 0.0000
0.0000 4.9095 0.0000
0.0000 0.0000 9.9459
Ca In
4 8
direct
0.1516 0.2500 0.0914 Ca
0.3484 0.7500 0.5914 Ca
0.6516 0.2500 0.4086 Ca
0.8484 0.7500 0.9086 Ca
0.0610 0.2500 0.7348 In
0.1446 0.2500 0.4214 In
0.3554 0.7500 0.9214 In
0.4390 0.7500 0.2348 In
0.5610 0.2500 0.7652 In
0.6446 0.2500 0.0786 In
0.8554 0.7500 0.5786 In
0.9390 0.7500 0.2652 In


Entry 5:
Ca3In (PBE-GGA, relaxed); formation enthalpy at 0 K = -238 meV per atom; crystal system = tetragonal; uncorrected energy = -2.4239 eV/atom; D(E_F) = 3.88 states/eV/cell
1.0
3.8447 0.0000 0.0000
0.0000 3.8447 0.0000
0.0000 0.0000 9.5962
Ca In
3 1
direct
0.0000 0.0000 0.0000 Ca
0.5000 0.5000 0.2992 Ca
0.5000 0.5000 0.7008 Ca
0.0000 0.0000 0.5000 In


Entry 6:
Ca2In17 (PBE-GGA, relaxed); formation enthalpy at 0 K = -74 meV per atom; crystal system = trigonal; uncorrected energy = -2.7344 eV/atom; D(E_F) = 7.03 states/eV/cell
1.0
4.8140 2.7793 6.6219
-4.8140 2.7793 6.6219
0.0000 -5.5587 6.6219
Ca In
2 17
direct
0.2176 0.2176 0.2176 Ca
0.7824 0.7824 0.7824 Ca
0.0000 0.5000 0.5000 In
0.0844 0.0844 0.6807 In
0.0844 0.6807 0.0844 In
0.1953 0.5000 0.8047 In
0.1953 0.8047 0.5000 In
0.3193 0.9156 0.9156 In
0.4025 0.4025 0.4025 In
0.5000 0.0000 0.5000 In
0.5000 0.1953 0.8047 In
0.5000 0.5000 0.0000 In
0.5000 0.8047 0.1953 In
0.5975 0.5975 0.5975 In
0.6807 0.0844 0.0844 In
0.8047 0.1953 0.5000 In
0.8047 0.5000 0.1953 In
0.9156 0.3193 0.9156 In
0.9156 0.9156 0.3193 In


Entry 7:
Ca3In (PBE-GGA, relaxed); formation enthalpy at 0 K = -130 meV per atom; crystal system = hexagonal; uncorrected energy = -2.3156 eV/atom; D(E_F) = 5.22 states/eV/cell
1.0
3.8409 0.0000 0.0000
-1.9205 3.3263 0.0000
0.0000 0.0000 11.5429
Ca In
3 1
direct
0.0000 0.0000 0.0000 Ca
0.3333 0.6667 0.2837 Ca
0.3333 0.6667 0.7163 Ca
0.0000 0.0000 0.5000 In


Entry 8:
Ca2In3 (PBE-GGA, relaxed); formation enthalpy at 0 K = -350 meV per atom; crystal system = orthorhombic; uncorrected energy = -2.7939 eV/atom; D(E_F) = 5.58 states/eV/cell
1.0
3.0928 -5.5825 0.0000
3.0928 5.5825 0.0000
0.0000 0.0000 8.6161
Ca In
4 6
direct
0.1483 0.8517 0.8985 Ca
0.3517 0.6483 0.3985 Ca
0.6483 0.3517 0.6015 Ca
0.8517 0.1483 0.1015 Ca
0.0000 0.0000 0.5000 In
0.1301 0.3699 0.7500 In
0.3699 0.1301 0.2500 In
0.5000 0.5000 0.0000 In
0.6301 0.8699 0.7500 In
0.8699 0.6301 0.2500 In


Entry 9:
CaIn2 (PBE-GGA, relaxed); formation enthalpy at 0 K = -298 meV per atom; crystal system = tetragonal; uncorrected energy = -2.7905 eV/atom; D(E_F) = 1.67 states/eV/cell
1.0
-1.9148 1.9148 5.7769
1.9148 -1.9148 5.7769
1.9148 1.9148 -5.7769
Ca In
1 2
direct
0.0000 0.0000 0.0000 Ca
0.3197 0.3197 0.0000 In
0.6803 0.6803 0.0000 In


Entry 10:
CaIn4 (PBE-GGA, relaxed); formation enthalpy at 0 K = -123 meV per atom; crystal system = cubic; uncorrected energy = -2.7137 eV/atom; D(E_F) = 13.43 states/eV/cell
1.0
-5.2740 5.2740 5.2740
5.2740 -5.2740 5.2740
5.2740 5.2740 -5.2740
Ca In
4 16
direct
0.0000 0.0000 0.5682 Ca
0.0000 0.5682 0.0000 Ca
0.4318 0.4318 0.4318 Ca
0.5682 0.0000 0.0000 Ca
0.0000 0.0000 0.2139 In
0.0000 0.2139 0.0000 In
0.0000 0.3450 0.3450 In
0.0000 0.6550 0.6550 In
0.2139 0.0000 0.0000 In
0.2500 0.5000 0.7500 In
0.2500 0.7500 0.5000 In
0.3450 0.0000 0.3450 In
0.3450 0.3450 0.0000 In
0.5000 0.2500 0.7500 In
0.5000 0.7500 0.2500 In
0.6550 0.0000 0.6550 In
0.6550 0.6550 0.0000 In
0.7500 0.2500 0.5000 In
0.7500 0.5000 0.2500 In
0.7861 0.7861 0.7861 In


Entry 11:
Ca2In (PBE-GGA, relaxed); formation enthalpy at 0 K = -179 meV per atom; crystal system = orthorhombic; uncorrected energy = -2.4260 eV/atom; D(E_F) = 3.47 states/eV/cell
1.0
1.9472 -8.9145 0.0000
1.9472 8.9145 0.0000
0.0000 0.0000 6.0019
Ca In
4 2
direct
0.0665 0.9335 0.7500 Ca
0.3681 0.6319 0.7500 Ca
0.6319 0.3681 0.2500 Ca
0.9335 0.0665 0.2500 Ca
0.2804 0.7196 0.2500 In
0.7196 0.2804 0.7500 In


Entry 12:
CaIn2 (PBE-GGA, relaxed); formation enthalpy at 0 K = -204 meV per atom; crystal system = trigonal; uncorrected energy = -2.6967 eV/atom; D(E_F) = 0.60 states/eV/cell
1.0
3.8380 0.0000 0.0000
-1.9190 3.3238 0.0000
0.0000 0.0000 7.0627
Ca In
1 2
direct
0.0000 0.0000 0.0000 Ca
0.3333 0.6667 0.3511 In
0.6667 0.3333 0.6489 In